# 1
! Na10B17C3 (PBE, optimized geometry); values from VASP
! E above lowest polymorph ... 0.0226 eV/atom
! Formation energy ... 0.23 eV per atom
! Density of states at the Fermi level ... 8.48 states/eV/cell
! Total magnetic moment ... 0.004 μB/atom
&SYSTEM
  ibrav = 0, nat = 30, ntyp = 3
/
ATOMIC_SPECIES
B 10.81 B.upf
C 12.01 C.upf
Na 22.99 Na.upf
CELL_PARAMETERS angstrom
8.6125 0.1825 -3.0279
8.0525 3.0602 -3.0279
-0.7634 -0.1485 13.4795
ATOMIC_POSITIONS crystal
B 0.6341 0.6341 0.0178
C 0.3726 0.3726 0.9953
Na 0.9984 0.9984 0.4986
B 0.2310 0.2310 0.7123
B 0.0333 0.0333 0.8184
B 0.4361 0.4361 0.1218
B 0.6220 0.6220 0.4939
B 0.8417 0.8417 0.9337
B 0.7662 0.7662 0.2818
Na 0.7997 0.7997 0.6004
B 0.2342 0.2342 0.2179
Na 0.3997 0.3997 0.2997
Na 0.2007 0.2007 0.9010
B 0.7723 0.7723 0.7949
B 0.4343 0.4343 0.6180
Na 0.1999 0.1999 0.3975
Na 0.6002 0.6002 0.7000
B 0.1646 0.1646 0.5792
Na 0.6002 0.6002 0.1991
C 0.9672 0.9672 0.1841
B 0.3663 0.3663 0.4824
B 0.5656 0.5656 0.8825
B 0.9663 0.9663 0.6825
Na 0.0012 0.0012 0.0016
B 0.8343 0.8343 0.4182
C 0.5616 0.5616 0.3730
B 0.1662 0.1662 0.0819
B 0.0296 0.0296 0.3088
Na 0.4002 0.4002 0.8019
Na 0.8005 0.8005 0.1017

***

# 2
! Er2Ni6Ge (PBE, optimized geometry); values from VASP
! E above lowest polymorph ... 0.0585 eV/atom
! Formation energy ... -0.41 eV per atom
! Density of states at the Fermi level ... 5.63 states/eV/cell
! Total magnetic moment ... 0.000 μB/atom
&SYSTEM
  ibrav = 0, nat = 9, ntyp = 3
/
ATOMIC_SPECIES
Ni 58.69 Ni.upf
Er 167.26 Er.upf
Ge 72.64 Ge.upf
CELL_PARAMETERS angstrom
5.7427 0.0000 0.0000
2.8713 4.9733 0.0000
2.8713 1.6578 4.6889
ATOMIC_POSITIONS crystal
Ni 0.7155 0.2845 0.2845
Ni 0.2845 0.7155 0.7155
Ni 0.7155 0.2845 0.7155
Ni 0.2845 0.2845 0.7155
Er 0.7500 0.7500 0.7500
Er 0.2500 0.2500 0.2500
Ni 0.7155 0.7155 0.2845
Ni 0.2845 0.7155 0.2845
Ge 0.0000 0.0000 0.0000